Material: Tb3Dy6Er2Pb
Method: DFT, PBE
State: optimized geometry

Cell lengths 6.099, 6.099, 11.640 Å; angles 95.06, 95.06, 120.05 degrees
Element x y z (fractional)
Er1 0.334 0.666 0.000
Er2 0.666 0.334 0.000
Tb1 0.832 0.168 0.500
Tb2 0.168 0.832 0.500
Tb3 0.500 0.500 0.500
Dy1 0.411 0.081 0.247
Dy2 0.589 0.919 0.753
Dy3 0.919 0.589 0.753
Dy4 0.248 0.248 0.751
Dy5 0.081 0.411 0.247
Dy6 0.752 0.752 0.249
Pb1 0.000 0.000 0.000

Calculated values
The value obtained for the magnetization is 0.01 μB per formula unit. The formation energy from the elements comes out at -46 meV per atom. The value obtained for the total DFT energy (no corrections) is -54.89 eV for the cell shown.

Material: SmHoHg5
Method: DFT, PBE
State: optimized geometry

Cell lengths 5.219, 5.219, 7.033 Å; angles 90.01, 90.01, 102.03 degrees
Element x y z (fractional)
Sm1 0.000 0.000 0.000
Hg1 0.000 0.000 0.500
Hg2 0.500 0.000 0.761
Hg3 0.000 0.500 0.761
Hg4 0.500 0.000 0.239
Hg5 0.000 0.500 0.239
Ho1 0.500 0.500 0.500

Calculated values
The value obtained for the magnetization is 0.00 μB per formula unit. The formation energy from the elements comes out at -252 meV per atom. The value obtained for the total DFT energy (no corrections) is -12.57 eV for the cell shown.

Material: ReSiTeI2
Method: DFT, PBE
State: optimized geometry

Cell lengths 5.479, 5.479, 5.463 Å; angles 90.00, 90.00, 90.00 degrees
Element x y z (fractional)
Te1 0.000 0.000 0.500
Si1 0.000 0.000 0.000
Re1 0.500 0.500 0.500
I1 0.500 0.000 0.000
I2 0.000 0.500 0.000

Calculated values
The value obtained for the magnetization is 5.37 μB per formula unit. Its energy relative to the lowest polymorph listed for this composition is 0.286 eV per atom. The energy relative to the elements, uncorrected is 1375 meV/atom. The value obtained for the total DFT energy (no corrections) is -17.24 eV for the cell shown.

Material: BeSbSCl2
Method: DFT, PBE
State: optimized geometry

Cell lengths 4.354, 4.354, 4.893 Å; angles 90.00, 90.00, 90.00 degrees
Element x y z (fractional)
Sb1 0.500 0.500 0.500
S1 0.000 0.000 0.500
Cl1 0.500 0.000 0.000
Cl2 0.000 0.500 0.000
Be1 0.000 0.000 0.000

Calculated values
The value obtained for the magnetization is 0.00 μB per formula unit. Its energy relative to the lowest polymorph listed for this composition is 0.000 eV per atom. The energy relative to the elements, uncorrected is -295 meV/atom. The value obtained for the total DFT energy (no corrections) is -17.15 eV for the cell shown.

Material: IrRuW2Br
Method: DFT, PBE
State: optimized geometry

Cell lengths 4.770, 4.737, 4.770 Å; angles 90.00, 90.00, 90.00 degrees
Element x y z (fractional)
Br1 0.500 0.500 0.500
Ir1 0.000 0.500 0.000
W1 0.500 0.000 0.000
W2 0.000 0.000 0.500
Ru1 0.000 0.000 0.000

Calculated values
The value obtained for the magnetization is 0.00 μB per formula unit. The energy relative to the elements, uncorrected is 2092 meV/atom. The value obtained for the total DFT energy (no corrections) is -35.25 eV for the cell shown.

Material: DyThPt2
Method: DFT, PBE
State: optimized geometry

Cell lengths 5.051, 5.051, 5.051 Å; angles 60.00, 60.00, 60.00 degrees
Element x y z (fractional)
Dy1 0.000 0.000 0.000
Pt1 0.750 0.750 0.750
Pt2 0.250 0.250 0.250
Th1 0.500 0.500 0.500

Calculated values
The value obtained for the magnetization is 0.00 μB per formula unit. The formation energy from the elements comes out at -1113 meV per atom. Its energy relative to the lowest polymorph listed for this composition is 0.172 eV per atom. The value obtained for the total DFT energy (no corrections) is -28.55 eV for the cell shown.

What did the sixth record say?
Material: DyThPt2
Method: DFT, PBE
State: optimized geometry

Cell lengths 5.051, 5.051, 5.051 Å; angles 60.00, 60.00, 60.00 degrees
Element x y z (fractional)
Dy1 0.000 0.000 0.000
Pt1 0.750 0.750 0.750
Pt2 0.250 0.250 0.250
Th1 0.500 0.500 0.500

Calculated values
The value obtained for the magnetization is 0.00 μB per formula unit. The formation energy from the elements comes out at -1113 meV per atom. Its energy relative to the lowest polymorph listed for this composition is 0.172 eV per atom. The value obtained for the total DFT energy (no corrections) is -28.55 eV for the cell shown.